No. 1
Here is a geometry-optimized Hg2Bi5Pd12 structure from Alexandria. Energies are from PBE.

Computed properties:
ΔE_f, eV/atom: -0.13
M_tot, μB per cell: 0.00
SG: C2/m

Unit cell a=8.219 b=8.219 c=9.800 alpha=108.47 beta=108.47 gamma=40.36
Sites, in units of the cell vectors:
Hg  0.245  0.755  0.000
Hg  0.755  0.245  0.000
Bi  0.000  0.000  0.500
Bi  0.323  0.323  0.660
Bi  0.353  0.353  0.151
Bi  0.647  0.647  0.849
Bi  0.677  0.677  0.340
Pd  0.052  0.561  0.896
Pd  0.093  0.579  0.398
Pd  0.143  0.143  0.329
Pd  0.421  0.907  0.602
Pd  0.439  0.948  0.104
Pd  0.488  0.488  0.628
Pd  0.512  0.512  0.372
Pd  0.561  0.052  0.896
Pd  0.579  0.093  0.398
Pd  0.857  0.857  0.671
Pd  0.907  0.421  0.602
Pd  0.948  0.439  0.104

=====

No. 2
Here is a geometry-optimized CoHg3Cl structure from Alexandria. Energies are from PBE.

Computed properties:
Uncorrected formation energy, meV/atom: 984
ΔE to the lowest computed polymorph, meV per atom: 779.8
M_tot, μB per cell: 2.36
SG: Pm-3m

Unit cell a=5.706 b=5.706 c=5.706 alpha=90.00 beta=90.00 gamma=90.00
Sites, in units of the cell vectors:
Co  0.000  0.000  0.000
Hg  0.000  0.500  0.500
Hg  0.500  0.000  0.500
Hg  0.500  0.500  0.000
Cl  0.500  0.500  0.500

=====

No. 3
Here is a geometry-optimized Nd2Si3Ni2 structure from Alexandria. Energies are from PBE.

Computed properties:
Uncorrected formation energy, meV/atom: -700
ΔE to the lowest computed polymorph, meV per atom: 0.0
M_tot, μB per cell: 0.00
SG: Cmcm

Unit cell a=9.101 b=9.101 c=6.700 alpha=90.00 beta=90.00 gamma=153.16
Sites, in units of the cell vectors:
Nd  0.053  0.947  0.750
Nd  0.159  0.841  0.250
Nd  0.841  0.159  0.750
Nd  0.947  0.053  0.250
Si  0.223  0.777  0.750
Si  0.437  0.563  0.568
Si  0.437  0.563  0.932
Si  0.563  0.437  0.068
Si  0.563  0.437  0.432
Si  0.777  0.223  0.250
Ni  0.305  0.695  0.054
Ni  0.305  0.695  0.446
Ni  0.695  0.305  0.554
Ni  0.695  0.305  0.946

=====

No. 4
Here is a geometry-optimized CaSeNO2 structure from Alexandria. Energies are from PBE.

Computed properties:
Uncorrected formation energy, meV/atom: 717
M_tot, μB per cell: 1.61
SG: P4/mmm

Unit cell a=4.386 b=4.386 c=4.976 alpha=90.00 beta=90.00 gamma=90.00
Sites, in units of the cell vectors:
Ca  0.000  0.000  0.000
Se  0.500  0.500  0.500
N  0.000  0.000  0.500
O  0.000  0.500  0.000
O  0.500  0.000  0.000

=====

Which formula does entry 1 have? Hg2Bi5Pd12

=====

Which of these has the highest M_tot? CoHg3Cl